Record 1
DFT (PBE) results for a relaxed ZnCdInSb crystal.

Cell lengths 7.368, 7.368, 7.368 Å; angles 90.00, 90.00, 90.00 degrees
Space group F-43m (No. 216)
Inequivalent atoms, fractional coordinates:
Zn1 0.000 0.000 0.000 x4
Cd1 0.250 0.250 0.750 x4
In1 0.250 0.250 0.250 x4
Sb1 0.000 0.000 0.500 x4

**Formation energy from raw total energies**: 0.121 eV/atom

***

Record 2
DFT (PBE) results for a relaxed YCr2Ir crystal.

Cell lengths 2.893, 4.151, 5.787 Å; angles 90.00, 90.00, 90.00 degrees
Space group Pmmm (No. 47)
Inequivalent atoms, fractional coordinates:
Y1 0.000 0.000 0.000 x1
Cr1 0.500 0.500 0.336 x2
Ir1 0.000 0.000 0.500 x1

**E above lowest polymorph**: 0.76 eV per formula unit
**Energy of formation from the pure elements**: 0.276 eV/atom

***

Record 3
DFT (PBE) results for a relaxed BaNaCa2Au crystal.

Cell lengths 5.831, 5.831, 5.952 Å; angles 90.00, 90.00, 90.00 degrees
Space group P4/mmm (No. 123)
Inequivalent atoms, fractional coordinates:
Ba1 0.000 0.000 0.000 x1
Na1 0.500 0.500 0.000 x1
Ca1 0.000 0.500 0.500 x2
Au1 0.500 0.500 0.500 x1

**E above lowest polymorph**: 0.33 eV per formula unit
**Energy of formation from the pure elements**: -0.240 eV/atom

***

Record 4
DFT (PBE) results for a relaxed AgMoPt crystal.

Cell lengths 4.5506, 4.5506, 2.6936 Å; angles 90.00, 90.00, 120.00 degrees
Space group P-6m2 (No. 187)
Inequivalent atoms, fractional coordinates:
Ag1 0.0000 0.0000 0.0000 x1
Mo1 0.6667 0.3333 0.5000 x1
Pt1 0.3333 0.6667 0.0000 x1

**E above lowest polymorph**: 0.90 eV per formula unit
**Energy of formation from the pure elements**: 0.176 eV/atom

***

Record 5
DFT (PBE) results for a relaxed Ce5Ga2Ge2 crystal.

Cell lengths 16.288, 6.447, 8.623 Å; angles 90.00, 90.00, 90.00 degrees
Space group Ima2 (No. 46)
Inequivalent atoms, fractional coordinates:
Ce1 0.073 0.220 0.000 x8
Ce2 0.164 0.616 0.915 x8
Ce3 0.250 0.100 0.756 x4
Ga1 0.000 0.000 0.264 x4
Ga2 0.250 0.529 0.596 x4
Ge1 0.067 0.600 0.223 x8

**Energy of formation from the pure elements**: -0.385 eV/atom

***

Record 6
DFT (PBE) results for a relaxed Ba2CdSn2 crystal.

Cell lengths 6.902, 6.902, 8.843 Å; angles 90.00, 90.00, 90.00 degrees
Space group I4/mmm (No. 139)
Inequivalent atoms, fractional coordinates:
Ba1 0.000 0.500 0.250 x4
Cd1 0.000 0.000 0.000 x2
Sn1 0.000 0.000 0.337 x4

**E above lowest polymorph**: 1.82 eV per formula unit
**Energy of formation from the pure elements**: -0.241 eV/atom

***

Record 7
DFT (PBE) results for a relaxed LaCrCl2 crystal.

Cell lengths 6.849, 6.849, 6.849 Å; angles 90.00, 90.00, 90.00 degrees
Space group Fm-3m (No. 225)
Inequivalent atoms, fractional coordinates:
La1 0.000 0.000 0.000 x4
Cr1 0.000 0.000 0.500 x4
Cl1 0.250 0.250 0.250 x8

**E above lowest polymorph**: 3.15 eV per formula unit
**Formation energy from raw total energies**: -0.095 eV/atom

***

Record 8
DFT (PBE) results for a relaxed In2CoOs crystal.

Cell lengths 6.454, 6.454, 6.454 Å; angles 90.00, 90.00, 90.00 degrees
Space group F-43m (No. 216)
Inequivalent atoms, fractional coordinates:
In1 0.000 0.000 0.000 x4
In2 0.250 0.250 0.250 x4
Co1 0.000 0.000 0.500 x4
Os1 0.250 0.250 0.750 x4

**Energy of formation from the pure elements**: 0.649 eV/atom

***

Record 9
DFT (PBE) results for a relaxed Ho2RhCl crystal.

Cell lengths 3.9358, 3.9358, 22.1825 Å; angles 90.00, 90.00, 120.00 degrees
Space group R-3m (No. 166, hexagonal axes)
Inequivalent atoms, fractional coordinates:
Ho1 0.0000 0.0000 0.2340 x6
Rh1 0.0000 0.0000 0.5000 x3
Cl1 0.0000 0.0000 0.0000 x3

**E above lowest polymorph**: 0.00 eV per formula unit
**Formation energy from raw total energies**: -1.188 eV/atom

***

Record 10
DFT (PBE) results for a relaxed Li3Cd2Pt2 crystal.

Cell lengths 7.786, 4.523, 7.042 Å; angles 90.00, 112.34, 90.00 degrees
Space group C2/m (No. 12)
Inequivalent atoms, fractional coordinates:
Li1 0.000 0.000 0.000 x2
Li2 0.144 0.000 0.430 x4
Cd1 0.214 0.500 0.142 x4
Pt1 0.067 0.500 0.702 x4

**E above lowest polymorph**: 0.00 eV per formula unit
**Energy of formation from the pure elements**: -0.460 eV/atom

***

Record 11
DFT (PBE) results for a relaxed DyErAg2Te4 crystal.

Cell lengths 7.444, 4.394, 7.604 Å; angles 90.00, 109.69, 90.00 degrees
Space group P2/m (No. 10)
Inequivalent atoms, fractional coordinates:
Dy1 0.000 0.000 0.000 x1
Er1 0.000 0.500 0.500 x1
Ag1 0.500 0.000 0.500 x1
Ag2 0.500 0.500 0.000 x1
Te1 0.252 0.000 0.748 x2
Te2 0.253 0.500 0.252 x2

**Formation energy from raw total energies**: -0.825 eV/atom

***

Record 12
DFT (PBE) results for a relaxed NaHg4Pb crystal.

Cell lengths 5.644, 10.653, 5.287 Å; angles 90.00, 90.00, 90.00 degrees
Space group Cmmm (No. 65)
Inequivalent atoms, fractional coordinates:
Na1 0.000 0.000 0.000 x2
Hg1 0.000 0.167 0.500 x4
Hg2 0.000 0.324 0.000 x4
Pb1 0.000 0.500 0.500 x2

**E above lowest polymorph**: 0.00 eV per formula unit
**Energy of formation from the pure elements**: -0.105 eV/atom

***

Record 13
DFT (PBE) results for a relaxed ThRh crystal.

Cell lengths 7.670, 4.156, 5.889 Å; angles 90.00, 90.00, 90.00 degrees
Space group Pnma (No. 62)
Inequivalent atoms, fractional coordinates:
Th1 0.171 0.250 0.170 x4
Rh1 0.067 0.250 0.674 x4

**Energy of formation from the pure elements**: -0.931 eV/atom

***

Record 14
DFT (PBE) results for a relaxed RbAlSn crystal.

Cell lengths 4.6398, 4.6398, 11.8990 Å; angles 90.00, 90.00, 120.00 degrees
Space group P6_3/mmc (No. 194)
Inequivalent atoms, fractional coordinates:
Rb1 0.0000 0.0000 0.0000 x2
Al1 0.3333 0.6667 0.2500 x2
Sn1 0.3333 0.6667 0.7500 x2

**Energy of formation from the pure elements**: -0.104 eV/atom

***

Record 15
DFT (PBE) results for a relaxed Li5Mg3Cu crystal.

Cell lengths 8.3166, 8.3166, 5.5204 Å; angles 90.00, 90.00, 120.00 degrees
Space group P6_3/mcm (No. 193)
Inequivalent atoms, fractional coordinates:
Li1 0.0000 0.2687 0.2500 x6
Li2 0.3333 0.6667 0.0000 x4
Mg1 0.0000 0.3762 0.7500 x6
Cu1 0.0000 0.0000 0.0000 x2

**Energy of formation from the pure elements**: 0.017 eV/atom

***

Record 16
DFT (PBE) results for a relaxed Tl3PdC crystal.

Cell lengths 5.348, 5.348, 5.348 Å; angles 90.00, 90.00, 90.00 degrees
Space group Pm-3m (No. 221)
Inequivalent atoms, fractional coordinates:
Tl1 0.000 0.000 0.500 x3
Pd1 0.000 0.000 0.000 x1
C1 0.500 0.500 0.500 x1

**E above lowest polymorph**: 0.89 eV per formula unit
**Energy of formation from the pure elements**: 1.217 eV/atom

***

Record 17
DFT (PBE) results for a relaxed Na14CdSn crystal.

Cell lengths 7.115, 7.115, 10.402 Å; angles 90.00, 90.00, 90.00 degrees
Space group P4/mmm (No. 123)
Inequivalent atoms, fractional coordinates:
Na1 0.000 0.000 0.000 x1
Na2 0.000 0.500 0.000 x2
Na3 0.000 0.500 0.500 x2
Na4 0.248 0.248 0.273 x8
Na5 0.500 0.500 0.000 x1
Cd1 0.500 0.500 0.500 x1
Sn1 0.000 0.000 0.500 x1

**Energy of formation from the pure elements**: -0.032 eV/atom

***

Record 18
DFT (PBE) results for a relaxed Cu2Ag2Te crystal.

Cell lengths 7.658, 7.658, 3.069 Å; angles 90.00, 90.00, 90.00 degrees
Space group P4/mbm (No. 127)
Inequivalent atoms, fractional coordinates:
Cu1 0.158 0.342 0.000 x4
Ag1 0.133 0.633 0.500 x4
Te1 0.000 0.000 0.500 x2

**E above lowest polymorph**: 0.46 eV per formula unit
**Formation energy from raw total energies**: 0.221 eV/atom

***

Record 19
DFT (PBE) results for a relaxed Rb2TiI8 crystal.

Cell lengths 15.411, 12.904, 6.427 Å; angles 90.00, 103.89, 90.00 degrees
Space group C2/m (No. 12)
Inequivalent atoms, fractional coordinates:
Rb1 0.223 0.000 0.119 x4
Ti1 0.000 0.500 0.000 x2
I1 0.002 0.000 0.254 x4
I2 0.066 0.347 0.785 x8
I3 0.162 0.500 0.312 x4

**Formation energy from raw total energies**: -0.779 eV/atom

***

Record 20
DFT (PBE) results for a relaxed Co2SiNi crystal.

Cell lengths 5.586, 5.586, 5.586 Å; angles 90.00, 90.00, 90.00 degrees
Space group F-43m (No. 216)
Inequivalent atoms, fractional coordinates:
Co1 0.000 0.000 0.000 x4
Co2 0.250 0.250 0.250 x4
Si1 0.250 0.250 0.750 x4
Ni1 0.000 0.000 0.500 x4

**Formation energy from raw total energies**: -0.234 eV/atom

***

Record 21
DFT (PBE) results for a relaxed K2LiInBr5 crystal.

Cell lengths 5.084, 18.209, 13.726 Å; angles 90.00, 90.00, 90.00 degrees
Space group Cmc2_1 (No. 36)
Inequivalent atoms, fractional coordinates:
K1 0.000 0.102 0.000 x4
K2 0.000 0.114 0.686 x4
Li1 0.000 0.252 0.430 x4
In1 0.000 0.404 0.765 x4
Br1 0.000 0.058 0.320 x4
Br2 0.000 0.292 0.625 x4
Br3 0.000 0.292 0.928 x4
Br4 0.000 0.370 0.342 x4
Br5 0.000 0.497 0.099 x4

**Formation energy from raw total energies**: -1.309 eV/atom

***

Record 22
DFT (PBE) results for a relaxed CuH2I crystal.

Cell lengths 5.434, 5.434, 7.674 Å; angles 90.00, 90.00, 90.00 degrees
Space group I-42d (No. 122)
Inequivalent atoms, fractional coordinates:
Cu1 0.000 0.000 0.000 x4
H1 0.002 0.750 0.125 x8
I1 0.000 0.000 0.500 x4

**E above lowest polymorph**: 2.40 eV per formula unit

***

Record 23
DFT (PBE) results for a relaxed ReGeO3 crystal.

Cell lengths 3.794, 3.794, 3.794 Å; angles 90.00, 90.00, 90.00 degrees
Space group Pm-3m (No. 221)
Inequivalent atoms, fractional coordinates:
Re1 0.000 0.000 0.000 x1
Ge1 0.500 0.500 0.500 x1
O1 0.000 0.500 0.500 x3

**Formation energy from raw total energies**: -0.021 eV/atom

***

Record 24
DFT (PBE) results for a relaxed Bi3Pt3Pb crystal.

Cell lengths 8.4377, 8.4377, 17.2665 Å; angles 90.00, 90.00, 120.00 degrees
Space group R-3 (No. 148, hexagonal axes)
Inequivalent atoms, fractional coordinates:
Bi1 0.0125 0.2731 0.0987 x18
Pt1 0.0042 0.3991 0.9261 x18
Pb1 0.0000 0.0000 0.3324 x6

**Energy of formation from the pure elements**: -0.157 eV/atom

***

Record 25
DFT (PBE) results for a relaxed AlHgBr2 crystal.

Cell lengths 3.677, 6.893, 9.423 Å; angles 90.00, 90.00, 90.00 degrees
Space group Cmm2 (No. 35)
Inequivalent atoms, fractional coordinates:
Al1 0.000 0.000 0.000 x2
Hg1 0.000 0.500 0.790 x2
Br1 0.000 0.000 0.574 x2
Br2 0.000 0.500 0.194 x2

**E above lowest polymorph**: 1.00 eV per formula unit
**Formation energy from raw total energies**: -0.268 eV/atom